# Sb2TeAuBr PBE optimized geometry
data_Sb2TeAuBr
_cell_length_a 5.482
_cell_length_b 5.482
_cell_length_c 5.665
_cell_angle_alpha 90.00
_cell_angle_beta 90.00
_cell_angle_gamma 90.00
_space_group_name_H-M_alt 'P 1'
_space_group_IT_number 1
loop_
_space_group_symop_operation_xyz
'x,y,z'
loop_
_atom_site_label
_atom_site_fract_x
_atom_site_fract_y
_atom_site_fract_z
Sb1 0.000 0.500 0.000
Sb2 0.500 0.000 0.000
Te1 0.000 0.000 0.500
Au1 0.500 0.500 0.500
Br1 0.000 0.000 0.000
# - formation energy from raw total energies (eV per atom) = 1.117
# - SG = P4/mmm (123)
# - M_tot (μB per formula unit) = 0.00
# - distance to the lowest polymorph of the same formula (meV/atom) = 611.6
# - density (Mg/m³) = 6.322